VASP calculation (GGA+U) on a relaxed MgFeF2 crystal.

The space group is R-3m (No. 166, hexagonal axes) and the conventional cell measures 3.3105, 3.3105 and 19.1801 Å, with angles of 90.00, 90.00 and 120.00 degrees. Symmetry generates all atoms from Mg at (0.0000, 0.0000, 0.0000), Fe at (0.0000, 0.0000, 0.5000) and F at (0.0000, 0.0000, 0.1091).

As for the energy above the most stable polymorph in this dataset: 380 meV per atom. The calculation puts the total energy at -4.29 eV per atom.